Entry from Alexandria via LeMat-Bulk: Mn2RhO4 after structural relaxation (GGA+U).

CIF file:
```
data_Mn2RhO4
_chemical_formula_sum 'Mn8 Rh4 O16'
_symmetry_space_group_name_H-M 'P 1'
_symmetry_Int_Tables_number 1
_cell_length_a 6.208
_cell_length_b 6.208
_cell_length_c 8.624
_cell_angle_alpha 90.00
_cell_angle_beta 90.00
_cell_angle_gamma 92.37
loop_
_symmetry_equiv_pos_as_xyz
'x,y,z'
loop_
_atom_site_label
_atom_site_type_symbol
_atom_site_fract_x
_atom_site_fract_y
_atom_site_fract_z
Mn1 Mn 0.239 0.761 0.750
Mn2 Mn 0.251 0.506 0.376
Mn3 Mn 0.252 0.252 0.000
Mn4 Mn 0.494 0.749 0.124
Mn5 Mn 0.506 0.251 0.624
Mn6 Mn 0.748 0.748 0.500
Mn7 Mn 0.749 0.494 0.876
Mn8 Mn 0.761 0.239 0.250
Rh1 Rh 0.006 0.255 0.625
Rh2 Rh 0.255 0.006 0.375
Rh3 Rh 0.745 0.994 0.875
Rh4 Rh 0.994 0.745 0.125
O1 O 0.018 0.761 0.362
O2 O 0.040 0.251 0.384
O3 O 0.239 0.982 0.138
O4 O 0.244 0.528 0.141
O5 O 0.251 0.040 0.616
O6 O 0.252 0.496 0.607
O7 O 0.472 0.756 0.359
O8 O 0.496 0.252 0.393
O9 O 0.504 0.748 0.893
O10 O 0.528 0.244 0.859
O11 O 0.748 0.504 0.107
O12 O 0.749 0.960 0.116
O13 O 0.756 0.472 0.641
O14 O 0.761 0.018 0.638
O15 O 0.960 0.749 0.884
O16 O 0.982 0.239 0.862
```

The density of states at the Fermi level is 3.45 states/eV per cell. Its raw total energy is -7.33 eV/atom.